Record 1
Crystalline In2RhS2 at its relaxed geometry. Source: Alexandria, functional PBE.

Lattice parameters (Å, degrees): 3.848 4.496 12.714 87.13 89.92 89.96
Space group P-1 (No. 2)
Symmetry-distinct sites (fractional):
In (0.002, 0.135, 0.395)
In (0.497, 0.494, 0.887)
Rh (0.498, 0.050, 0.758)
S (0.003, 0.066, 0.141)
S (0.498, 0.480, 0.641)

Formation energy from raw total energies ... -0.24 eV/atom
Calculated volume ... 22.0 A^3/atom
Calculated total energy ... -44.58 eV/cell


Record 2
Crystalline LiTbNiP2 at its relaxed geometry. Source: Alexandria, functional PBE.

Lattice parameters (Å, degrees): 5.174 5.597 5.429 90.00 90.00 90.00
Space group Pmma (No. 51)
Symmetry-distinct sites (fractional):
Li (0.250, 0.000, 0.097)
Tb (0.250, 0.500, 0.266)
Ni (0.000, 0.000, 0.500)
P (0.250, 0.255, 0.736)

Calculated volume ... 15.7 A^3/atom
ΔE_f ... -0.76 eV/atom
Calculated total energy ... -53.93 eV/cell


Record 3
Crystalline LiCuCl2 at its relaxed geometry. Source: Alexandria, functional PBE.

Lattice parameters (Å, degrees): 5.444 5.444 10.999 90.00 90.00 90.00
Space group I-42d (No. 122)
Symmetry-distinct sites (fractional):
Li (0.000, 0.000, 0.000)
Cu (0.000, 0.000, 0.500)
Cl (0.244, 0.250, 0.625)

Formation energy from raw total energies ... -1.11 eV/atom
Calculated volume ... 20.4 A^3/atom
Calculated total energy ... -56.51 eV/cell


Record 4
Crystalline Ho4HgPd2 at its relaxed geometry. Source: Alexandria, functional PBE.

Lattice parameters (Å, degrees): 4.6652 4.6652 29.5596 90.00 90.00 120.00
Space group R-3m (No. 166, hexagonal axes)
Symmetry-distinct sites (fractional):
Ho (0.0000, 0.0000, 0.1148)
Ho (0.0000, 0.0000, 0.2981)
Hg (0.0000, 0.0000, 0.5000)
Pd (0.0000, 0.0000, 0.4002)

Calculated volume ... 26.5 A^3/atom
ΔE_f ... -0.51 eV/atom
Energy above the lowest structure with this stoichiometry ... 80 meV/atom
Calculated total energy ... -97.71 eV/cell


Record 5
Crystalline Pm2InOsO8 at its relaxed geometry. Source: Alexandria, functional PBE.

Lattice parameters (Å, degrees): 6.856 7.196 7.050 90.00 90.87 90.00
Space group C2/m (No. 12)
Symmetry-distinct sites (fractional):
Pm (0.036, 0.000, 0.249)
In (0.000, 0.500, 0.000)
Os (0.000, 0.500, 0.500)
O (0.024, 0.322, 0.705)
O (0.205, 0.000, 0.977)
O (0.231, 0.000, 0.529)

Formation energy from raw total energies ... -2.04 eV/atom
Calculated volume ... 14.5 A^3/atom
Calculated total energy ... -175.11 eV/cell


Record 6
Crystalline Ac8GaAu6 at its relaxed geometry. Source: Alexandria, functional PBE.

Lattice parameters (Å, degrees): 9.5775 9.5775 19.2638 90.00 90.00 120.00
Space group R-3 (No. 148, hexagonal axes)
Symmetry-distinct sites (fractional):
Ac (0.0000, 0.0000, 0.1741)
Ac (0.0193, 0.2837, 0.5987)
Ga (0.0000, 0.0000, 0.5000)
Au (0.0042, 0.3882, 0.4315)

Calculated volume ... 34.0 A^3/atom
ΔE_f ... -0.63 eV/atom
Calculated total energy ... -194.85 eV/cell